Arrangement one

PBE-GGA OsW2, optimized geometry; SG = Fm-3m, No. 225
1.0
4.277 0.000 0.000
2.138 3.704 0.000
2.138 1.235 3.492
W Os
2 1
Cartesian
2.138 1.235 0.873 W
6.415 3.704 2.619 W
0.000 0.000 0.000 Os

Arrangement two

PBE-GGA OsW2, optimized geometry; SG = Cmcm, No. 63
1.0
2.001 7.245 -1.389
-4.453 -6.117 1.080
-0.151 0.908 4.520
W Os
4 2
Cartesian
1.617 6.756 -0.126 W
-4.220 -4.720 4.338 W
-0.472 2.429 0.673 W
-2.131 -0.394 3.539 W
0.089 4.202 2.689 Os
-2.692 -2.167 1.522 Os

Ordering by calculated energy gives the sequence arrangement two, arrangement one, with the first entry being the most stable.

Arrangement one

PBE-GGA B2C, optimized geometry; SG = P1, No. 1
1.0
3.239 -0.875 2.383
-1.642 -3.332 1.652
1.831 -3.333 -3.811
B C
8 4
Cartesian
2.291 -2.025 1.716 B
-0.370 -3.171 1.448 B
3.344 -3.253 -0.933 B
2.880 -5.710 -0.179 B
2.899 -4.313 1.580 B
0.873 -3.578 -2.149 B
1.426 -4.938 1.020 B
3.585 -2.800 0.867 B
4.751 -4.059 -1.385 C
2.206 -4.097 -1.599 C
2.536 -5.479 -1.808 C
0.030 -4.360 0.505 C

Arrangement two

PBE-GGA B2C, optimized geometry; SG = C2/m, No. 12
1.0
0.606 -1.901 -6.056
1.460 -4.120 -4.642
-4.432 -2.105 -0.627
C B
4 8
Cartesian
-0.005 -5.871 -9.212 C
-2.712 -4.657 -5.672 C
-2.361 -2.255 -2.113 C
0.346 -3.469 -5.654 C
-3.192 -1.783 -0.871 B
-3.629 -3.257 -2.920 B
-3.137 -3.965 -4.328 B
-0.545 -5.132 -7.726 B
1.263 -4.869 -8.405 B
0.826 -6.343 -10.455 B
0.771 -4.161 -6.997 B
-1.821 -2.994 -3.600 B

Ordering by calculated energy gives the sequence arrangement two, arrangement one, with the first entry being the most stable.

Arrangement one

PBE-GGA InBI2O, optimized geometry; SG = P4/mmm, No. 123
1.0
6.939 0.000 0.000
0.000 6.939 0.000
0.000 0.000 2.883
I In O B
2 1 1 1
Cartesian
3.470 0.000 0.000 I
0.000 3.470 0.000 I
3.470 3.470 1.442 In
0.000 0.000 1.442 O
0.000 0.000 0.000 B

Arrangement two

PBE-GGA InBI2O, optimized geometry; SG = P4/mmm, No. 123
1.0
-0.630 2.315 -5.161
1.634 -4.897 -2.396
-3.974 -1.282 -0.089
I In B O
2 1 1 1
Cartesian
-0.315 1.157 -2.581 I
0.817 -2.449 -1.198 I
0.000 0.000 0.000 In
-1.486 -1.932 -3.823 B
-1.987 -0.641 -0.045 O

Ordering by calculated energy gives the sequence arrangement one, arrangement two, with the first entry being the most stable.

Arrangement one

PBE-GGA TaCd2Os, optimized geometry; SG = R3m, No. 160
1.0
-6.055 4.817 6.575
-4.348 3.432 8.510
-3.508 6.007 7.396
Ta Os Cd
1 1 2
Cartesian
-10.547 10.808 17.043 Ta
-6.883 7.054 11.123 Os
-0.055 0.056 0.088 Cd
-3.383 3.467 5.467 Cd

Arrangement two

PBE-GGA TaCd2Os, optimized geometry; SG = Cmmm, No. 65
1.0
5.413 0.019 0.000
-2.677 4.705 0.000
0.000 0.000 2.842
Ta Cd Os
1 2 1
Cartesian
-1.338 2.352 1.421 Ta
0.000 0.000 0.000 Cd
1.368 2.362 0.000 Cd
2.706 0.010 1.421 Os

Ordering by calculated energy gives the sequence arrangement one, arrangement two, with the first entry being the most stable.

Arrangement one

PBE-GGA BaLa3Pt, optimized geometry; SG = P1, No. 1
1.0
-2.959 -5.797 0.473
2.033 -1.080 7.462
-6.364 3.424 2.191
La Ba Pt
6 2 2
Cartesian
-0.871 -2.513 5.426 La
-6.649 -2.746 8.567 La
-0.813 0.081 8.078 La
-5.429 -0.797 2.655 La
-4.070 -0.784 6.531 La
-2.268 -2.495 1.567 La
-4.354 -4.419 4.908 Ba
-8.108 -2.959 4.751 Ba
-4.749 0.475 9.065 Pt
-2.722 -3.136 7.583 Pt

Arrangement two

PBE-GGA BaLa3Pt, optimized geometry; SG = Amm2, No. 38
1.0
3.795 0.000 0.000
0.000 3.409 -9.510
0.000 3.409 9.510
La Pt Ba
3 1 1
Cartesian
0.000 3.409 -1.430 La
1.898 5.157 0.981 La
1.898 1.661 0.981 La
0.000 3.409 2.207 Pt
1.898 3.409 -5.175 Ba

Ordering by calculated energy gives the sequence arrangement one, arrangement two, with the first entry being the most stable.